# 1
{
  "formula": "LaGa2Pt3",
  "functional": "PBE",
  "state": "optimized geometry",
  "dos_ef_per_ev_cell": 2.8,
  "e_form_ev_per_atom": -0.94,
  "lattice_angstrom": [[4.051, 0.000, 0.000], [0.000, 5.659, 0.000], [0.000, -2.830, 4.901]],
  "species": ["Ga", "Ga", "Pt", "Pt", "Pt", "La"],
  "fractional_positions": [[0.000, 0.667, 0.333], [0.000, 0.333, 0.667], [0.500, 0.500, 0.500], [0.500, 0.500, 0.000], [0.500, 0.000, 0.500], [0.000, 0.000, 0.000]]
}

---

# 2
{
  "formula": "CaZn2CoGe",
  "functional": "PBE",
  "state": "optimized geometry",
  "dos_ef_per_ev_cell": 3.1,
  "relative_energy_ev_per_fu": 0.00,
  "e_form_ev_per_atom": -0.20,
  "lattice_angstrom": [[-0.526, -1.097, -4.485], [4.566, 0.542, -0.668], [0.654, -4.309, 0.977]],
  "species": ["Ge", "Ca", "Co", "Zn", "Zn"],
  "fractional_positions": [[0.000, 0.000, 0.500], [0.500, 0.500, 0.500], [0.000, 0.000, 0.000], [0.000, 0.500, 0.000], [0.500, 0.000, 0.000]]
}

---

# 3
{
  "formula": "Cr2ReCSe",
  "functional": "PBE",
  "state": "optimized geometry",
  "dos_ef_per_ev_cell": 8.0,
  "raw_formation_energy_mev_per_atom": 972,
  "lattice_angstrom": [[3.810, 0.000, 0.000], [0.000, 4.414, 0.000], [0.000, 0.000, 3.810]],
  "species": ["Re", "C", "Se", "Cr", "Cr"],
  "fractional_positions": [[0.500, 0.500, 0.500], [0.000, 0.000, 0.000], [0.000, 0.500, 0.000], [0.000, 0.000, 0.500], [0.500, 0.000, 0.000]]
}

---

# 4
{
  "formula": "IrSIO2",
  "functional": "PBE",
  "state": "optimized geometry",
  "dos_ef_per_ev_cell": 2.8,
  "raw_formation_energy_mev_per_atom": 546,
  "lattice_angstrom": [[3.813, 0.000, 0.000], [0.000, 5.513, 0.000], [0.000, 0.000, 3.813]],
  "species": ["I", "S", "Ir", "O", "O"],
  "fractional_positions": [[0.000, 0.000, 0.000], [0.500, 0.500, 0.500], [0.000, 0.500, 0.000], [0.000, 0.000, 0.500], [0.500, 0.000, 0.000]]
}

---

# 5
{
  "formula": "Tl3HPd",
  "functional": "PBE",
  "state": "optimized geometry",
  "dos_ef_per_ev_cell": 1.8,
  "relative_energy_ev_per_fu": 0.00,
  "lattice_angstrom": [[-1.883, 3.723, -2.279], [-3.904, -0.325, 2.694], [1.954, 2.938, 3.186]],
  "species": ["H", "Tl", "Tl", "Tl", "Pd"],
  "fractional_positions": [[0.000, 0.000, 0.000], [0.000, 0.500, 0.000], [0.000, 0.000, 0.500], [0.500, 0.000, 0.000], [0.500, 0.500, 0.500]]
}

---

# 6
{
  "formula": "In2Ag8Au3",
  "functional": "PBE",
  "state": "optimized geometry",
  "dos_ef_per_ev_cell": 3.1,
  "e_form_ev_per_atom": 0.10,
  "lattice_angstrom": [[-1.741, 2.639, -4.469], [-5.253, -0.334, -1.503], [-4.486, 9.002, 3.711]],
  "species": ["In", "In", "Ag", "Ag", "Ag", "Ag", "Ag", "Ag", "Ag", "Ag", "Au", "Au", "Au"],
  "fractional_positions": [[0.640, 0.640, 0.079], [0.360, 0.360, 0.921], [0.728, 0.728, 0.816], [0.272, 0.272, 0.184], [0.227, 0.727, 0.318], [0.727, 0.227, 0.318], [0.727, 0.727, 0.318], [0.273, 0.773, 0.682], [0.773, 0.273, 0.682], [0.273, 0.273, 0.682], [0.000, 0.000, 0.000], [0.817, 0.817, 0.549], [0.183, 0.183, 0.451]]
}

---

# 7
{
  "formula": "Tb2Pm3Sc4",
  "functional": "PBE",
  "state": "optimized geometry",
  "dos_ef_per_ev_cell": 29.1,
  "relative_energy_ev_per_fu": 0.56,
  "e_form_ev_per_atom": 0.12,
  "lattice_angstrom": [[-3.669, -4.545, 0.350], [4.567, -9.775, 1.308], [-0.972, -4.652, 9.774]],
  "species": ["Tb", "Tb", "Tb", "Tb", "Pm", "Pm", "Pm", "Pm", "Pm", "Pm", "Sc", "Sc", "Sc", "Sc", "Sc", "Sc", "Sc", "Sc"],
  "fractional_positions": [[0.445, 0.264, 0.500], [0.055, 0.500, 0.736], [0.555, 0.736, 0.500], [0.945, 0.500, 0.264], [0.777, 0.042, 0.282], [0.723, 0.718, 0.958], [0.223, 0.958, 0.718], [0.277, 0.282, 0.042], [0.250, 0.648, 0.352], [0.750, 0.352, 0.648], [0.439, 0.936, 0.171], [0.061, 0.829, 0.064], [0.561, 0.064, 0.829], [0.939, 0.171, 0.936], [0.114, 0.133, 0.403], [0.386, 0.597, 0.867], [0.886, 0.867, 0.597], [0.614, 0.403, 0.133]]
}

---

# 8
{
  "formula": "Tl5InTe5",
  "functional": "PBE",
  "state": "optimized geometry",
  "dos_ef_per_ev_cell": 6.2,
  "raw_formation_energy_mev_per_atom": -193,
  "lattice_angstrom": [[6.349, 0.000, 0.000], [-3.174, 7.577, -0.373], [0.000, -3.290, 8.324]],
  "species": ["Tl", "Tl", "Tl", "Tl", "Tl", "In", "Te", "Te", "Te", "Te", "Te"],
  "fractional_positions": [[0.700, 0.401, 0.293], [0.630, 0.260, 0.762], [0.000, 0.000, 0.500], [0.370, 0.740, 0.238], [0.300, 0.599, 0.707], [0.000, 0.000, 0.000], [0.834, 0.668, 0.108], [0.836, 0.672, 0.668], [0.500, 0.000, 0.000], [0.164, 0.328, 0.332], [0.166, 0.332, 0.892]]
}

---

# 9
{
  "formula": "BaScHg2",
  "functional": "PBE",
  "state": "optimized geometry",
  "dos_ef_per_ev_cell": 2.6,
  "e_form_ev_per_atom": -0.23,
  "lattice_angstrom": [[-2.751, 8.371, 2.286], [-3.704, 8.148, -1.660], [-6.205, 6.565, 1.128]],
  "species": ["Ba", "Hg", "Hg", "Sc"],
  "fractional_positions": [[0.250, 0.250, 0.250], [0.016, 0.016, 0.016], [0.484, 0.484, 0.484], [0.750, 0.750, 0.750]]
}

---

# 10
{
  "formula": "NdSm2YSc",
  "functional": "PBE",
  "state": "optimized geometry",
  "dos_ef_per_ev_cell": 15.3,
  "e_form_ev_per_atom": 0.23,
  "lattice_angstrom": [[-4.399, -0.395, -5.000], [-4.135, -5.238, 4.052], [-3.330, 4.613, 2.565]],
  "species": ["Nd", "Nd", "Sm", "Sm", "Sm", "Sm", "Y", "Y", "Sc", "Sc"],
  "fractional_positions": [[0.197, 0.500, 0.750], [0.803, 0.500, 0.250], [0.719, 0.710, 0.750], [0.719, 0.290, 0.750], [0.281, 0.710, 0.250], [0.281, 0.290, 0.250], [0.601, 0.000, 0.250], [0.399, 0.000, 0.750], [0.000, 0.000, 0.000], [0.000, 0.000, 0.500]]
}

---

# 11
{
  "formula": "LaFeCl2",
  "functional": "PBE",
  "state": "optimized geometry",
  "dos_ef_per_ev_cell": 2.1,
  "raw_formation_energy_mev_per_atom": -593,
  "relative_energy_ev_per_fu": 1.33,
  "lattice_angstrom": [[3.660, 0.000, 0.000], [0.000, 3.661, 0.000], [0.000, 0.000, 7.219]],
  "species": ["Cl", "Cl", "Fe", "La"],
  "fractional_positions": [[0.000, 0.000, 0.963], [0.000, 0.000, 0.537], [0.500, 0.500, 0.250], [0.500, 0.500, 0.750]]
}

---

# 12
{
  "formula": "KAsPb",
  "functional": "PBE",
  "state": "optimized geometry",
  "e_form_ev_per_atom": -0.34,
  "lattice_angstrom": [[-3.882, -1.165, 1.513], [3.553, -2.082, 1.327], [0.632, 4.144, 4.812]],
  "species": ["Pb", "As", "K"],
  "fractional_positions": [[0.667, 0.333, 0.746], [0.000, 0.000, 0.962], [0.333, 0.667, 0.292]]
}

---

no.,theoretical density (g cm⁻³),size of the total moment (μB/atom),calculated volume (Å³/f.u.)
1,12.76,0.000,112.4
2,5.21,0.154,96.4
3,9.88,0.001,64.1
4,7.94,0.127,80.2
5,11.14,0.000,107.5
6,10.51,0.000,265.9
7,5.89,0.000,263.1
8,7.51,0.000,392.7
9,7.69,0.000,125.9
10,5.91,0.000,162.5
11,4.56,0.923,96.7
12,5.16,0.000,103.5